No. 1
Entry from Alexandria: a relaxed Er2Be4NiPt3 crystal (PBE-GGA). Values from VASP.

Values from the calculation:
* formation energy from the elements: -0.81 eV per atom
* total energy: -5.6026 eV per atom
* space-group type: No. 115
* calculated volume: 14.66 Å³ per atom

```
&SYSTEM
  ibrav = 0, nat = 10, ntyp = 4
/
ATOMIC_SPECIES
Er 167.26 Er.upf
Be 9.01 Be.upf
Ni 58.69 Ni.upf
Pt 195.08 Pt.upf
CELL_PARAMETERS angstrom
3.905 0.000 0.000
0.000 3.905 0.000
0.000 0.000 9.613
ATOMIC_POSITIONS crystal
Er 0.000 0.500 0.246
Er 0.500 0.000 0.754
Be 0.000 0.000 0.500
Be 0.000 0.500 0.878
Be 0.500 0.000 0.122
Be 0.500 0.500 0.500
Ni 0.500 0.500 0.000
Pt 0.000 0.000 0.000
Pt 0.000 0.500 0.634
Pt 0.500 0.000 0.366
```

No. 2
Entry from Alexandria: a relaxed CuSnTeI2 crystal (PBE-GGA). Values from VASP.

Values from the calculation:
* energy above the lowest structure with this stoichiometry: 0.0 meV/atom
* raw formation energy: 11.6 kJ/mol of atoms
* total energy: -2.7476 eV per atom
* space-group type: No. 123
* calculated volume: 30.73 Å³ per atom

```
&SYSTEM
  ibrav = 0, nat = 5, ntyp = 4
/
ATOMIC_SPECIES
Cu 63.55 Cu.upf
Sn 118.71 Sn.upf
Te 127.60 Te.upf
I 126.90 I.upf
CELL_PARAMETERS angstrom
5.330 0.000 0.000
0.000 5.330 0.000
0.000 0.000 5.407
ATOMIC_POSITIONS crystal
Cu 0.000 0.000 0.000
Sn 0.500 0.500 0.500
Te 0.000 0.000 0.500
I 0.000 0.500 0.000
I 0.500 0.000 0.000
```

No. 3
Entry from Alexandria: a relaxed K2V3Cl9 crystal (PBE-GGA). Values from VASP.

Values from the calculation:
* raw formation energy: -131.6 kJ/mol of atoms
* total energy: -4.6623 eV per atom
* space-group type: No. 12
* calculated volume: 27.11 Å³ per atom

```
&SYSTEM
  ibrav = 0, nat = 28, ntyp = 3
/
ATOMIC_SPECIES
K 39.10 K.upf
V 50.94 V.upf
Cl 35.45 Cl.upf
CELL_PARAMETERS angstrom
5.186 -8.409 0.000
5.186 8.409 0.000
-4.254 0.000 8.705
ATOMIC_POSITIONS crystal
K 0.068 0.743 0.694
K 0.257 0.932 0.306
K 0.743 0.068 0.694
K 0.932 0.257 0.306
V 0.249 0.448 0.837
V 0.363 0.363 0.145
V 0.448 0.249 0.837
V 0.552 0.751 0.163
V 0.637 0.637 0.855
V 0.751 0.552 0.163
Cl 0.004 0.608 0.333
Cl 0.109 0.312 0.980
Cl 0.193 0.193 0.675
Cl 0.228 0.228 0.286
Cl 0.298 0.702 0.000
Cl 0.312 0.109 0.980
Cl 0.384 0.584 0.695
Cl 0.392 0.996 0.667
Cl 0.416 0.616 0.305
Cl 0.584 0.384 0.695
Cl 0.608 0.004 0.333
Cl 0.616 0.416 0.305
Cl 0.688 0.891 0.020
Cl 0.702 0.298 0.000
Cl 0.772 0.772 0.714
Cl 0.807 0.807 0.325
Cl 0.891 0.688 0.020
Cl 0.996 0.392 0.667
```

No. 4
Entry from Alexandria: a relaxed AcGdInHg crystal (PBE-GGA). Values from VASP.

Values from the calculation:
* formation energy from the elements: -0.44 eV per atom
* total energy: -5.7515 eV per atom
* space-group type: No. 216
* calculated volume: 30.74 Å³ per atom

```
&SYSTEM
  ibrav = 0, nat = 16, ntyp = 4
/
ATOMIC_SPECIES
Ac 227.00 Ac.upf
Gd 157.25 Gd.upf
In 114.82 In.upf
Hg 200.59 Hg.upf
CELL_PARAMETERS angstrom
7.894 0.000 0.000
0.000 7.894 0.000
0.000 0.000 7.894
ATOMIC_POSITIONS crystal
Ac 0.000 0.000 0.000
Ac 0.000 0.500 0.500
Ac 0.500 0.000 0.500
Ac 0.500 0.500 0.000
Gd 0.000 0.000 0.500
Gd 0.000 0.500 0.000
Gd 0.500 0.000 0.000
Gd 0.500 0.500 0.500
In 0.250 0.250 0.250
In 0.250 0.750 0.750
In 0.750 0.250 0.750
In 0.750 0.750 0.250
Hg 0.250 0.250 0.750
Hg 0.250 0.750 0.250
Hg 0.750 0.250 0.250
Hg 0.750 0.750 0.750
```

Question: Among the records above, which one has the lowest total energy?
Answer: AcGdInHg